! ZnInBi | Alexandria via LeMat-Bulk | PBE-GGA | optimized geometry; values from VASP
&SYSTEM
  ibrav = 0, nat = 3, ntyp = 3
/
ATOMIC_SPECIES
Zn 65.41 Zn.upf
Bi 208.98 Bi.upf
In 114.82 In.upf
CELL_PARAMETERS angstrom
-2.724 -3.366 1.419
2.802 -0.795 3.493
-3.421 2.961 0.458
ATOMIC_POSITIONS angstrom
Zn -2.670 -3.301 1.391
Bi -1.263 -2.003 3.518
In -2.133 0.738 1.879
! - ΔE_f: 0.133 eV/atom
! - Crystal system: trigonal
! - Calculated total energy: -7.49 eV per cell
! - D(E_F): 0.4926 states/eV per atom